[1]
## ScGe3C (PBE)

Data for an optimized crystal structure of ScGe3C.

Summary:
For the density of states at the Fermi level, the calculation gives 4.1 states/eV per cell. The formation energy comes out at 0.66 eV/atom. As for the space group: No. 221. Its magnetic moment is 0.00 μB per atom.

a b c (Å): 4.3922 4.3922 4.3922
angles (deg): 90.00 90.00 90.00
Positions (direct):
Sc (0.0000, 0.0000, 0.0000)
Ge (0.0000, 0.5000, 0.5000)
Ge (0.5000, 0.0000, 0.5000)
Ge (0.5000, 0.5000, 0.0000)
C (0.5000, 0.5000, 0.5000)

***

[2]
## MoRuW2 (PBE)

Data for an optimized crystal structure of MoRuW2.

Summary:
For the density of states at the Fermi level, the calculation gives 4.7 states/eV per cell. The formation energy comes out at 0.29 eV/atom. As for the space group: No. 166. Its magnetic moment is 0.00 μB per atom.

a b c (Å): 9.5939 9.5939 9.5939
angles (deg): 16.63 16.63 16.63
Positions (direct):
Mo (0.0000, 0.0000, 0.0000)
Ru (0.5000, 0.5000, 0.5000)
W (0.2459, 0.2459, 0.2459)
W (0.7541, 0.7541, 0.7541)

***

[3]
## Ta5Ru6Rh (PBE)

Data for an optimized crystal structure of Ta5Ru6Rh.

Summary:
For the density of states at the Fermi level, the calculation gives 6.2 states/eV per cell. The formation energy comes out at -0.37 eV/atom. As for the space group: No. 71. Its magnetic moment is 0.00 μB per atom.

a b c (Å): 7.5751 7.5751 7.5751
angles (deg): 147.26 125.50 65.05
Positions (direct):
Ta (0.0000, 0.0000, 0.0000)
Ta (0.1819, 0.6819, 0.5000)
Ta (0.3601, 0.3601, 0.0000)
Ta (0.6399, 0.6399, 0.0000)
Ta (0.8181, 0.3181, 0.5000)
Ru (0.0636, 0.8314, 0.2322)
Ru (0.2182, 0.5000, 0.7182)
Ru (0.4008, 0.1686, 0.2322)
Ru (0.5992, 0.8314, 0.7678)
Ru (0.7818, 0.5000, 0.2818)
Ru (0.9364, 0.1686, 0.7678)
Rh (0.5000, 0.0000, 0.5000)

***

[4]
## ReMo2Cl (PBE)

Data for an optimized crystal structure of ReMo2Cl.

Summary:
For the density of states at the Fermi level, the calculation gives 4.3 states/eV per cell. The formation energy (no corrections) comes out at 1.13 eV per atom. As for the space group: No. 139. Its magnetic moment is 0.00 μB per atom.

a b c (Å): 5.0709 5.0709 5.0709
angles (deg): 135.96 135.96 64.04
Positions (direct):
Re (0.0000, 0.0000, 0.0000)
Mo (0.2500, 0.7500, 0.5000)
Mo (0.7500, 0.2500, 0.5000)
Cl (0.5000, 0.5000, 0.0000)

***

[5]
## CoHgTe2 (PBE)

Data for an optimized crystal structure of CoHgTe2.

Summary:
For the density of states at the Fermi level, the calculation gives 3.0 states/eV per cell. The formation energy (no corrections) comes out at 0.16 eV per atom. As for the space group: No. 65. Its magnetic moment is 0.13 μB per atom.

a b c (Å): 3.2383 3.2383 9.9801
angles (deg): 90.00 90.00 103.18
Positions (direct):
Co (0.0000, 0.0000, 0.0000)
Hg (0.0000, 0.0000, 0.5000)
Te (0.5000, 0.5000, 0.1654)
Te (0.5000, 0.5000, 0.8346)

***

[6]
## Ce2As3Pd (PBE)

Data for an optimized crystal structure of Ce2As3Pd.

Summary:
For the density of states at the Fermi level, the calculation gives 11.3 states/eV per cell. The formation energy comes out at -0.89 eV/atom. As for the space group: No. 71. Its magnetic moment is 0.25 μB per atom.

a b c (Å): 6.6991 6.6991 6.6991
angles (deg): 143.47 126.76 66.30
Positions (direct):
Ce (0.1784, 0.1784, 0.0000)
Ce (0.8216, 0.8216, 0.0000)
As (0.0000, 0.5000, 0.5000)
As (0.3566, 0.8566, 0.5000)
As (0.6434, 0.1434, 0.5000)
Pd (0.5000, 0.5000, 0.0000)

***

[7]
## La6NdEr12 (PBE)

Data for an optimized crystal structure of La6NdEr12.

Summary:
For the density of states at the Fermi level, the calculation gives 32.7 states/eV per cell. The formation energy comes out at 0.22 eV/atom. As for the space group: No. 166. Its magnetic moment is 0.00 μB per atom.

a b c (Å): 8.7791 8.7791 8.7791
angles (deg): 98.68 98.68 98.68
Positions (direct):
La (0.1524, 0.5972, 0.5972)
La (0.4028, 0.4028, 0.8476)
La (0.4028, 0.8476, 0.4028)
La (0.5972, 0.1524, 0.5972)
La (0.5972, 0.5972, 0.1524)
La (0.8476, 0.4028, 0.4028)
Nd (0.5000, 0.5000, 0.5000)
Er (0.0000, 0.2535, 0.7465)
Er (0.0000, 0.7465, 0.2535)
Er (0.1448, 0.1448, 0.4203)
Er (0.1448, 0.4203, 0.1448)
Er (0.2535, 0.0000, 0.7465)
Er (0.2535, 0.7465, 0.0000)
Er (0.4203, 0.1448, 0.1448)
Er (0.5797, 0.8552, 0.8552)
Er (0.7465, 0.0000, 0.2535)
Er (0.7465, 0.2535, 0.0000)
Er (0.8552, 0.5797, 0.8552)
Er (0.8552, 0.8552, 0.5797)

***

[8]
## ZnCuNi (PBE)

Data for an optimized crystal structure of ZnCuNi.

Summary:
For the density of states at the Fermi level, the calculation gives 2.7 states/eV per cell. The formation energy comes out at 0.67 eV/atom. As for the space group: No. 71. Its magnetic moment is 0.00 μB per atom.

a b c (Å): 4.0097 4.0097 4.0097
angles (deg): 109.77 109.48 109.16
Positions (direct):
Zn (0.0000, 0.0000, 0.0000)
Cu (0.5000, 0.5000, 0.0000)
Ni (0.5000, 0.0000, 0.5000)

***

[9]
## CrAsP (PBE)

Data for an optimized crystal structure of CrAsP.

Summary:
For the density of states at the Fermi level, the calculation gives 2.0 states/eV per cell. The formation energy comes out at 0.20 eV/atom. As for the space group: No. 187. Its magnetic moment is 0.56 μB per atom.

a b c (Å): 4.0255 4.0255 3.2917
angles (deg): 90.00 90.00 120.00
Positions (direct):
Cr (0.0000, 0.0000, 0.0000)
As (0.6667, 0.3333, 0.5000)
P (0.3333, 0.6667, 0.0000)

***

[10]
## Ac2Pm7Ho (PBE)

Data for an optimized crystal structure of Ac2Pm7Ho.

Summary:
For the density of states at the Fermi level, the calculation gives 19.0 states/eV per cell. The formation energy comes out at 0.19 eV/atom. As for the space group: No. 65. Its magnetic moment is 0.00 μB per atom.

a b c (Å): 15.5123 15.5123 3.5645
angles (deg): 90.00 90.00 154.89
Positions (direct):
Ac (0.2067, 0.7933, 0.0000)
Ac (0.7933, 0.2067, 0.0000)
Pm (0.1460, 0.3383, 0.0000)
Pm (0.3157, 0.6843, 0.5000)
Pm (0.3383, 0.1460, 0.0000)
Pm (0.5000, 0.5000, 0.0000)
Pm (0.6617, 0.8540, 0.0000)
Pm (0.6843, 0.3157, 0.5000)
Pm (0.8540, 0.6617, 0.0000)
Ho (0.0000, 0.0000, 0.5000)

***

[11]
## Ho12Sc5Cd2 (PBE)

Data for an optimized crystal structure of Ho12Sc5Cd2.

Summary:
For the density of states at the Fermi level, the calculation gives 31.8 states/eV per cell. The formation energy comes out at 0.07 eV/atom. As for the space group: No. 12. Its magnetic moment is 0.00 μB per atom.

a b c (Å): 8.7974 8.7974 8.0204
angles (deg): 90.45 90.45 61.59
Positions (direct):
Ho (0.0565, 0.0565, 0.3223)
Ho (0.0723, 0.6770, 0.3398)
Ho (0.1597, 0.5304, 0.7594)
Ho (0.3230, 0.9277, 0.6602)
Ho (0.4098, 0.4098, 0.1123)
Ho (0.4696, 0.8403, 0.2406)
Ho (0.5304, 0.1597, 0.7594)
Ho (0.5902, 0.5902, 0.8877)
Ho (0.6770, 0.0723, 0.3398)
Ho (0.8403, 0.4696, 0.2406)
Ho (0.9277, 0.3230, 0.6602)
Ho (0.9435, 0.9435, 0.6777)
Sc (0.1953, 0.1953, 0.0107)
Sc (0.2631, 0.2631, 0.4167)
Sc (0.5000, 0.5000, 0.5000)
Sc (0.7369, 0.7369, 0.5833)
Sc (0.8047, 0.8047, 0.9893)
Cd (0.1797, 0.8203, 0.0000)
Cd (0.8203, 0.1797, 0.0000)

***

[12]
## Pd2SCl3 (PBE)

Data for an optimized crystal structure of Pd2SCl3.

Summary:
For the density of states at the Fermi level, the calculation gives 7.1 states/eV per cell. The formation energy (no corrections) comes out at -0.25 eV per atom. As for the space group: No. 12. Its magnetic moment is 0.00 μB per atom.

a b c (Å): 9.0121 9.0121 12.3466
angles (deg): 131.91 131.91 22.65
Positions (direct):
Pd (0.1108, 0.1108, 0.0183)
Pd (0.3695, 0.3695, 0.6617)
Pd (0.6305, 0.6305, 0.3383)
Pd (0.8892, 0.8892, 0.9817)
S (0.0680, 0.0680, 0.1587)
S (0.9320, 0.9320, 0.8413)
Cl (0.1884, 0.1884, 0.5377)
Cl (0.2558, 0.2558, 0.8620)
Cl (0.4622, 0.4622, 0.2420)
Cl (0.5378, 0.5378, 0.7580)
Cl (0.7442, 0.7442, 0.1380)
Cl (0.8116, 0.8116, 0.4623)

***

| no. | E_tot (eV for the cell shown) |
| --- | --- |
| 1 | -26.1 |
| 2 | -44.9 |
| 3 | -126.8 |
| 4 | -31.4 |
| 5 | -13.0 |
| 6 | -36.4 |
| 7 | -84.9 |
| 8 | -9.1 |
| 9 | -19.1 |
| 10 | -44.2 |
| 11 | -87.0 |
| 12 | -43.1 |